No. 1
A relaxed structure of CeAuF. Source: Alexandria via LeMat-Bulk, functional GGA-PBE. Values from VASP.

Structure (Quantum ESPRESSO input):
```
&SYSTEM
  ibrav = 0, nat = 3, ntyp = 3
/
ATOMIC_SPECIES
F 19.00 F.upf
Au 196.97 Au.upf
Ce 140.12 Ce.upf
CELL_PARAMETERS angstrom
4.385 0.000 0.000
0.000 4.124 0.000
0.000 -2.062 3.571
ATOMIC_POSITIONS crystal
F 0.167 0.333 0.667
Au 0.667 0.667 0.333
Ce 0.167 0.000 0.000
```

Results
ΔE_f (raw) = -1.897 eV/atom
E_tot = -16.77 eV per cell
E above lowest polymorph = 0.00 kcal/mol of atoms
Spin magnetization = 1.081 μB/cell

---

No. 2
A relaxed structure of Ce2FeAu. Source: Alexandria via LeMat-Bulk, functional GGA-PBE. Values from VASP.

Structure (Quantum ESPRESSO input):
```
&SYSTEM
  ibrav = 0, nat = 4, ntyp = 3
/
ATOMIC_SPECIES
Au 196.97 Au.upf
Ce 140.12 Ce.upf
Fe 55.84 Fe.upf
CELL_PARAMETERS angstrom
3.022 0.000 0.000
1.511 2.617 0.000
1.511 0.872 10.428
ATOMIC_POSITIONS crystal
Au 0.000 0.000 0.000
Ce 0.903 0.903 0.291
Ce 0.097 0.097 0.709
Fe 0.500 0.500 0.500
```

Results
E_tot = -22.63 eV per cell
Spin magnetization = 0.601 μB/cell

---

No. 3
A relaxed structure of Ce5Fe2Au2. Source: Alexandria via LeMat-Bulk, functional GGA-PBE. Values from VASP.

Structure (Quantum ESPRESSO input):
```
&SYSTEM
  ibrav = 0, nat = 18, ntyp = 3
/
ATOMIC_SPECIES
Au 196.97 Au.upf
Fe 55.84 Fe.upf
Ce 140.12 Ce.upf
CELL_PARAMETERS angstrom
-7.042 -0.075 2.311
-2.002 -3.104 -6.200
-2.419 -7.002 4.286
ATOMIC_POSITIONS crystal
Au 0.719 0.500 0.562
Fe 0.134 0.358 0.000
Fe 0.634 0.142 0.000
Ce 0.796 0.828 0.761
Au 0.281 0.500 0.438
Ce 0.057 0.672 0.239
Au 0.781 0.000 0.438
Ce 0.000 0.000 0.000
Ce 0.500 0.500 0.000
Au 0.219 0.000 0.562
Ce 0.704 0.328 0.239
Ce 0.943 0.328 0.761
Ce 0.204 0.172 0.239
Ce 0.557 0.828 0.239
Fe 0.866 0.642 0.000
Ce 0.443 0.172 0.761
Ce 0.296 0.672 0.761
Fe 0.366 0.858 0.000
```

Results
E_tot = -111.10 eV per cell
Spin magnetization = 2.289 μB/cell

---

No. 4
A relaxed structure of Ce2FeAu. Source: Alexandria via LeMat-Bulk, functional GGA-PBE. Values from VASP.

Structure (Quantum ESPRESSO input):
```
&SYSTEM
  ibrav = 0, nat = 4, ntyp = 3
/
ATOMIC_SPECIES
Au 196.97 Au.upf
Fe 55.84 Fe.upf
Ce 140.12 Ce.upf
CELL_PARAMETERS angstrom
3.373 0.000 0.000
0.000 3.373 0.000
0.000 0.000 7.650
ATOMIC_POSITIONS crystal
Au 0.500 0.500 0.500
Fe 0.500 0.500 0.000
Ce 0.000 0.000 0.219
Ce 0.000 0.000 0.781
```

Results
E_tot = -24.56 eV per cell
Spin magnetization = 0.652 μB/cell

---

No. 5
A relaxed structure of Ce6Fe2Au. Source: Alexandria via LeMat-Bulk, functional GGA-PBE. Values from VASP.

Structure (Quantum ESPRESSO input):
```
&SYSTEM
  ibrav = 0, nat = 9, ntyp = 3
/
ATOMIC_SPECIES
Ce 140.12 Ce.upf
Au 196.97 Au.upf
Fe 55.84 Fe.upf
CELL_PARAMETERS angstrom
-4.255 1.562 2.306
2.593 -4.305 2.094
4.434 6.068 4.070
ATOMIC_POSITIONS crystal
Ce 0.311 0.622 0.384
Ce 0.614 0.228 0.162
Ce 0.386 0.772 0.838
Au 0.000 0.000 0.500
Ce 0.952 0.903 0.139
Ce 0.048 0.097 0.861
Fe 0.726 0.451 0.869
Fe 0.274 0.549 0.131
Ce 0.689 0.378 0.616
```

Results
E_tot = -57.99 eV per cell
Spin magnetization = 0.000 μB/cell

---

No. 6
A relaxed structure of Ce2Ga3Au6. Source: Alexandria via LeMat-Bulk, functional GGA-PBE. Values from VASP.

Structure (Quantum ESPRESSO input):
```
&SYSTEM
  ibrav = 0, nat = 11, ntyp = 3
/
ATOMIC_SPECIES
Ga 69.72 Ga.upf
Au 196.97 Au.upf
Ce 140.12 Ce.upf
CELL_PARAMETERS angstrom
4.487 0.000 0.000
0.000 7.769 0.000
0.000 -3.885 6.728
ATOMIC_POSITIONS crystal
Ga 0.500 0.633 0.000
Au 0.000 0.789 0.000
Ga 0.500 0.000 0.633
Au 0.000 0.000 0.789
Au 0.500 0.000 0.311
Au 0.000 0.211 0.211
Au 0.500 0.311 0.000
Ce 0.000 0.667 0.333
Ce 0.000 0.333 0.667
Ga 0.500 0.367 0.367
Au 0.500 0.689 0.689
```

Results
E_tot = -46.14 eV per cell
Spin magnetization = 1.656 μB/cell

---

No. 7
A relaxed structure of Ce2GaAu. Source: Alexandria via LeMat-Bulk, functional GGA-PBE. Values from VASP.

Structure (Quantum ESPRESSO input):
```
&SYSTEM
  ibrav = 0, nat = 4, ntyp = 3
/
ATOMIC_SPECIES
Ce 140.12 Ce.upf
Ga 69.72 Ga.upf
Au 196.97 Au.upf
CELL_PARAMETERS angstrom
-2.590 -0.629 1.974
-2.789 -1.847 -4.250
2.694 -4.133 2.217
ATOMIC_POSITIONS crystal
Ce 0.000 0.000 0.000
Ga 0.500 0.500 0.000
Ce 0.000 0.500 0.500
Au 0.500 0.000 0.500
```

Results
E_tot = -20.24 eV per cell
Spin magnetization = 0.744 μB/cell

---

No. 8
A relaxed structure of Ce3GaAu. Source: Alexandria via LeMat-Bulk, functional GGA-PBE. Values from VASP.

Structure (Quantum ESPRESSO input):
```
&SYSTEM
  ibrav = 0, nat = 10, ntyp = 3
/
ATOMIC_SPECIES
Au 196.97 Au.upf
Ce 140.12 Ce.upf
Ga 69.72 Ga.upf
CELL_PARAMETERS angstrom
-3.410 5.406 -0.084
-1.475 -0.854 4.935
7.912 1.251 2.581
ATOMIC_POSITIONS crystal
Au 0.546 0.750 0.092
Ce 0.868 0.250 0.299
Ce 0.132 0.750 0.701
Ce 0.431 0.250 0.299
Ce 0.569 0.750 0.701
Ce 0.000 0.500 0.000
Ce 0.000 0.000 0.000
Ga 0.177 0.750 0.354
Ga 0.823 0.250 0.646
Au 0.454 0.250 0.908
```

Results
E_tot = -49.45 eV per cell
E above lowest polymorph = 6.67 kcal/mol of atoms
Spin magnetization = 4.110 μB/cell

---

No. 9
A relaxed structure of CeGa2Au5. Source: Alexandria via LeMat-Bulk, functional GGA-PBE. Values from VASP.

Structure (Quantum ESPRESSO input):
```
&SYSTEM
  ibrav = 0, nat = 8, ntyp = 3
/
ATOMIC_SPECIES
Ga 69.72 Ga.upf
Ce 140.12 Ce.upf
Au 196.97 Au.upf
CELL_PARAMETERS angstrom
-0.963 2.499 3.152
-6.793 0.778 0.021
-3.368 -3.727 4.639
ATOMIC_POSITIONS crystal
Ga 0.755 0.745 0.745
Ce 0.000 0.000 0.000
Au 0.000 0.500 0.500
Au 0.634 0.160 0.571
Au 0.366 0.840 0.429
Ga 0.245 0.255 0.255
Au 0.634 0.571 0.160
Au 0.366 0.429 0.840
```

Results
E_tot = -31.43 eV per cell
Spin magnetization = 0.910 μB/cell

---

No. 10
A relaxed structure of CeGa2Au3. Source: Alexandria via LeMat-Bulk, functional GGA-PBE. Values from VASP.

Structure (Quantum ESPRESSO input):
```
&SYSTEM
  ibrav = 0, nat = 18, ntyp = 3
/
ATOMIC_SPECIES
Ce 140.12 Ce.upf
Au 196.97 Au.upf
Ga 69.72 Ga.upf
CELL_PARAMETERS angstrom
-3.419 -0.550 2.580
-0.926 -6.251 -6.173
6.240 -3.899 7.436
ATOMIC_POSITIONS crystal
Ce 0.000 0.000 0.000
Au 0.618 0.236 0.183
Au 0.957 0.914 0.660
Ce 0.845 0.690 0.303
Ga 0.529 0.059 0.772
Au 0.220 0.439 0.375
Au 0.780 0.561 0.625
Ga 0.202 0.403 0.117
Ce 0.155 0.310 0.697
Au 0.333 0.666 0.050
Ga 0.359 0.718 0.549
Au 0.667 0.334 0.950
Ga 0.798 0.597 0.883
Au 0.382 0.764 0.817
Au 0.043 0.086 0.340
Au 0.500 0.000 0.500
Ga 0.471 0.941 0.228
Ga 0.641 0.282 0.451
```

Results
E_tot = -74.59 eV per cell
Spin magnetization = 2.801 μB/cell

---

No. 11
A relaxed structure of CeGaAu. Source: Alexandria via LeMat-Bulk, functional GGA-PBE. Values from VASP.

Structure (Quantum ESPRESSO input):
```
&SYSTEM
  ibrav = 0, nat = 3, ntyp = 3
/
ATOMIC_SPECIES
Au 196.97 Au.upf
Ga 69.72 Ga.upf
Ce 140.12 Ce.upf
CELL_PARAMETERS angstrom
3.385 0.000 0.000
0.000 3.385 0.000
-1.692 -1.692 5.580
ATOMIC_POSITIONS crystal
Au 0.931 0.931 0.862
Ga 0.303 0.303 0.605
Ce 0.616 0.616 0.233
```

Results
E_tot = -13.71 eV per cell
Spin magnetization = 0.391 μB/cell

---

No. 12
A relaxed structure of Ce2Ga7Au12. Source: Alexandria via LeMat-Bulk, functional GGA-PBE. Values from VASP.

Structure (Quantum ESPRESSO input):
```
&SYSTEM
  ibrav = 0, nat = 21, ntyp = 3
/
ATOMIC_SPECIES
Au 196.97 Au.upf
Ga 69.72 Ga.upf
Ce 140.12 Ce.upf
CELL_PARAMETERS angstrom
-2.799 2.550 2.051
-6.599 -8.101 1.066
7.188 1.929 7.411
ATOMIC_POSITIONS crystal
Au 0.782 0.260 0.132
Au 0.218 0.740 0.868
Ga 0.277 0.400 0.107
Au 0.240 0.926 0.550
Au 0.218 0.132 0.872
Ga 0.277 0.893 0.293
Au 0.782 0.868 0.128
Ce 0.241 0.333 0.667
Au 0.760 0.550 0.625
Au 0.782 0.872 0.740
Ce 0.759 0.667 0.333
Ga 0.500 0.000 0.000
Ga 0.723 0.293 0.400
Au 0.760 0.074 0.450
Au 0.240 0.625 0.074
Ga 0.277 0.707 0.600
Ga 0.723 0.107 0.707
Ga 0.723 0.600 0.893
Au 0.760 0.375 0.926
Au 0.240 0.450 0.375
Au 0.218 0.128 0.260
```

Results
E_tot = -79.99 eV per cell
Spin magnetization = 1.966 μB/cell